1.
Density functional theory data (PBE-GGA) for a geometry-optimized YNbSiS2 structure.

Calculated values
SG: P4/mmm, No. 123
Raw formation energy, meV/atom: 193

a b c (Å): 4.673 4.673 4.782
angles (deg): 90.00 90.00 90.00
Fractional positions:
Y (0.000, 0.000, 0.000)
Nb (0.500, 0.500, 0.000)
Si (0.500, 0.500, 0.500)
S (0.000, 0.500, 0.500)
S (0.500, 0.000, 0.500)

---

2.
Density functional theory data (PBE-GGA) for a geometry-optimized SmNbS2 structure.

Calculated values
SG: R-3m, No. 166
Raw formation energy, meV/atom: -848

a b c (Å): 8.849 8.849 8.849
angles (deg): 22.76 22.76 22.76
Fractional positions:
Sm (0.000, 0.000, 0.000)
Nb (0.500, 0.500, 0.500)
S (0.107, 0.107, 0.107)
S (0.893, 0.893, 0.893)

---

3.
Density functional theory data (PBE-GGA) for a geometry-optimized SmNb2S6 structure.

Calculated values
SG: C2/m, No. 12
Raw formation energy, meV/atom: -1080

a b c (Å): 6.414 6.414 8.455
angles (deg): 118.66 118.66 45.06
Fractional positions:
Sm (0.000, 0.000, 0.000)
Nb (0.194, 0.194, 0.580)
Nb (0.806, 0.806, 0.420)
S (0.027, 0.027, 0.690)
S (0.295, 0.295, 0.387)
S (0.351, 0.351, 0.906)
S (0.649, 0.649, 0.094)
S (0.705, 0.705, 0.613)
S (0.973, 0.973, 0.310)

---

4.
Density functional theory data (PBE-GGA) for a geometry-optimized SmNbS4 structure.

Calculated values
SG: P2_1/c, No. 14
Raw formation energy, meV/atom: -1120

a b c (Å): 6.491 6.477 6.517
angles (deg): 90.00 98.05 90.00
Fractional positions:
Sm (0.000, 0.000, 0.000)
Sm (0.000, 0.500, 0.500)
Nb (0.500, 0.000, 0.500)
Nb (0.500, 0.500, 0.000)
S (0.163, 0.137, 0.393)
S (0.163, 0.363, 0.893)
S (0.369, 0.672, 0.302)
S (0.369, 0.828, 0.802)
S (0.631, 0.172, 0.198)
S (0.631, 0.328, 0.698)
S (0.837, 0.637, 0.107)
S (0.837, 0.863, 0.607)

---

5.
Density functional theory data (PBE-GGA) for a geometry-optimized SmNb6S8 structure.

Calculated values
SG: R-3, No. 148
Raw formation energy, meV/atom: -1062

a b c (Å): 6.654 6.654 6.654
angles (deg): 87.70 87.70 87.70
Fractional positions:
Sm (0.000, 0.000, 0.000)
Nb (0.202, 0.409, 0.556)
Nb (0.409, 0.556, 0.202)
Nb (0.444, 0.798, 0.591)
Nb (0.556, 0.202, 0.409)
Nb (0.591, 0.444, 0.798)
Nb (0.798, 0.591, 0.444)
S (0.131, 0.756, 0.390)
S (0.233, 0.233, 0.233)
S (0.244, 0.610, 0.869)
S (0.390, 0.131, 0.756)
S (0.610, 0.869, 0.244)
S (0.756, 0.390, 0.131)
S (0.767, 0.767, 0.767)
S (0.869, 0.244, 0.610)

---

6.
Density functional theory data (PBE-GGA) for a geometry-optimized Nb2SnS structure.

Calculated values
SG: Fm-3m, No. 225
Raw formation energy, meV/atom: -55
Polymorph energy (0 for the lowest one), eV/f.u.: 0.000

a b c (Å): 4.665 4.665 4.665
angles (deg): 60.00 60.00 60.00
Fractional positions:
Nb (0.250, 0.250, 0.250)
Nb (0.750, 0.750, 0.750)
Sn (0.000, 0.000, 0.000)
S (0.500, 0.500, 0.500)

---

7.
Density functional theory data (PBE-GGA) for a geometry-optimized NbSnS2 structure.

Calculated values
SG: P6_3/mmc, No. 194
Raw formation energy, meV/atom: -867

a b c (Å): 3.362 3.362 17.547
angles (deg): 90.00 90.00 120.00
Fractional positions:
Nb (0.333, 0.667, 0.250)
Nb (0.667, 0.333, 0.750)
Sn (0.000, 0.000, 0.000)
Sn (0.000, 0.000, 0.500)
S (0.000, 0.000, 0.161)
S (0.000, 0.000, 0.339)
S (0.000, 0.000, 0.661)
S (0.000, 0.000, 0.839)

---

8.
Density functional theory data (PBE-GGA) for a geometry-optimized NbSn2S structure.

Calculated values
SG: I-42d, No. 122
Raw formation energy, meV/atom: 401

a b c (Å): 6.225 6.225 6.225
angles (deg): 102.74 102.74 123.98
Fractional positions:
Nb (0.000, 0.000, 0.000)
Nb (0.750, 0.250, 0.500)
Sn (0.132, 0.625, 0.007)
Sn (0.375, 0.382, 0.507)
Sn (0.618, 0.125, 0.993)
Sn (0.875, 0.868, 0.493)
S (0.250, 0.750, 0.500)
S (0.500, 0.500, 0.000)

---

9.
Density functional theory data (PBE-GGA) for a geometry-optimized Nb6SnS structure.

Calculated values
SG: R-3, No. 148
Raw formation energy, meV/atom: 185

a b c (Å): 6.024 6.024 6.024
angles (deg): 61.18 61.18 61.18
Fractional positions:
Nb (0.033, 0.715, 0.513)
Nb (0.285, 0.487, 0.967)
Nb (0.487, 0.967, 0.285)
Nb (0.513, 0.033, 0.715)
Nb (0.715, 0.513, 0.033)
Nb (0.967, 0.285, 0.487)
Sn (0.000, 0.000, 0.000)
S (0.500, 0.500, 0.500)

---

10.
Density functional theory data (PBE-GGA) for a geometry-optimized NbSnS2 structure.

Calculated values
SG: I-42d, No. 122
Raw formation energy, meV/atom: -200

a b c (Å): 6.964 6.964 6.964
angles (deg): 125.71 125.71 80.37
Fractional positions:
Nb (0.000, 0.000, 0.000)
Nb (0.750, 0.250, 0.500)
Sn (0.250, 0.750, 0.500)
Sn (0.500, 0.500, 0.000)
S (0.061, 0.625, 0.936)
S (0.375, 0.311, 0.436)
S (0.689, 0.125, 0.064)
S (0.875, 0.939, 0.564)

---

11.
Density functional theory data (PBE-GGA) for a geometry-optimized NbSn3S structure.

Calculated values
SG: Pm-3m, No. 221
Raw formation energy, meV/atom: 836
Polymorph energy (0 for the lowest one), eV/f.u.: 1.348

a b c (Å): 5.089 5.089 5.089
angles (deg): 90.00 90.00 90.00
Fractional positions:
Nb (0.000, 0.000, 0.000)
Sn (0.000, 0.500, 0.500)
Sn (0.500, 0.000, 0.500)
Sn (0.500, 0.500, 0.000)
S (0.500, 0.500, 0.500)

---

12.
Density functional theory data (PBE-GGA) for a geometry-optimized NbSnS3 structure.

Calculated values
SG: Pm-3m, No. 221
Raw formation energy, meV/atom: 653
Polymorph energy (0 for the lowest one), eV/f.u.: 5.392

a b c (Å): 4.896 4.896 4.896
angles (deg): 90.00 90.00 90.00
Fractional positions:
Nb (0.000, 0.000, 0.000)
Sn (0.500, 0.500, 0.500)
S (0.000, 0.500, 0.500)
S (0.500, 0.000, 0.500)
S (0.500, 0.500, 0.000)

---

13.
Density functional theory data (PBE-GGA) for a geometry-optimized Nb2SnS structure.

Calculated values
SG: I-42d, No. 122
Raw formation energy, meV/atom: 304
Polymorph energy (0 for the lowest one), eV/f.u.: 1.437

a b c (Å): 8.575 8.575 8.575
angles (deg): 146.72 146.72 47.78
Fractional positions:
Nb (0.020, 0.625, 0.895)
Nb (0.375, 0.270, 0.395)
Nb (0.730, 0.125, 0.105)
Nb (0.875, 0.980, 0.605)
Sn (0.250, 0.750, 0.500)
Sn (0.500, 0.500, 0.000)
S (0.000, 0.000, 0.000)
S (0.750, 0.250, 0.500)

---

14.
Density functional theory data (PBE-GGA) for a geometry-optimized NbSnS2 structure.

Calculated values
SG: R3m, No. 160
Raw formation energy, meV/atom: -688

a b c (Å): 8.899 8.899 8.899
angles (deg): 21.61 21.61 21.61
Fractional positions:
Nb (0.000, 0.000, 0.000)
Sn (0.169, 0.169, 0.169)
S (0.394, 0.394, 0.394)
S (0.605, 0.605, 0.605)

---

15.
Density functional theory data (PBE-GGA) for a geometry-optimized NbSn3S structure.

Calculated values
SG: Pm-3m, No. 221
Raw formation energy, meV/atom: 566
Polymorph energy (0 for the lowest one), eV/f.u.: 0.000

a b c (Å): 5.390 5.390 5.390
angles (deg): 90.00 90.00 90.00
Fractional positions:
Nb (0.000, 0.000, 0.000)
Sn (0.000, 0.000, 0.500)
Sn (0.000, 0.500, 0.000)
Sn (0.500, 0.000, 0.000)
S (0.500, 0.500, 0.500)

---

16.
Density functional theory data (PBE-GGA) for a geometry-optimized NbSnS2 structure.

Calculated values
SG: R-3m, No. 166
Raw formation energy, meV/atom: -763

a b c (Å): 9.109 9.109 9.109
angles (deg): 21.20 21.20 21.20
Fractional positions:
Nb (0.000, 0.000, 0.000)
Sn (0.500, 0.500, 0.500)
S (0.393, 0.393, 0.393)
S (0.607, 0.607, 0.607)

---

17.
Density functional theory data (PBE-GGA) for a geometry-optimized NbSnS3 structure.

Calculated values
SG: Pm-3m, No. 221
Raw formation energy, meV/atom: -425
Polymorph energy (0 for the lowest one), eV/f.u.: 0.000

a b c (Å): 4.831 4.831 4.831
angles (deg): 90.00 90.00 90.00
Fractional positions:
Nb (0.000, 0.000, 0.000)
Sn (0.500, 0.500, 0.500)
S (0.000, 0.000, 0.500)
S (0.000, 0.500, 0.000)
S (0.500, 0.000, 0.000)

---

18.
Density functional theory data (PBE-GGA) for a geometry-optimized NbSnS4 structure.

Calculated values
SG: P2_1/c, No. 14
Raw formation energy, meV/atom: -451

a b c (Å): 6.295 6.290 6.353
angles (deg): 90.00 92.55 90.00
Fractional positions:
Nb (0.000, 0.000, 0.000)
Nb (0.000, 0.500, 0.500)
Sn (0.500, 0.000, 0.500)
Sn (0.500, 0.500, 0.000)
S (0.118, 0.151, 0.660)
S (0.118, 0.349, 0.160)
S (0.347, 0.625, 0.618)
S (0.347, 0.875, 0.118)
S (0.653, 0.125, 0.882)
S (0.653, 0.375, 0.382)
S (0.882, 0.651, 0.840)
S (0.882, 0.849, 0.340)

---

19.
Density functional theory data (PBE-GGA) for a geometry-optimized Sr3NbS structure.

Calculated values
SG: Pm-3m, No. 221
Raw formation energy, meV/atom: 696
Polymorph energy (0 for the lowest one), eV/f.u.: 3.958

a b c (Å): 5.675 5.675 5.675
angles (deg): 90.00 90.00 90.00
Fractional positions:
Sr (0.000, 0.000, 0.500)
Sr (0.000, 0.500, 0.000)
Sr (0.500, 0.000, 0.000)
Nb (0.000, 0.000, 0.000)
S (0.500, 0.500, 0.500)

---

20.
Density functional theory data (PBE-GGA) for a geometry-optimized SrNbS3 structure.

Calculated values
SG: Pm-3m, No. 221
Raw formation energy, meV/atom: 911

a b c (Å): 5.259 5.259 5.259
angles (deg): 90.00 90.00 90.00
Fractional positions:
Sr (0.000, 0.000, 0.000)
Nb (0.500, 0.500, 0.500)
S (0.000, 0.000, 0.500)
S (0.000, 0.500, 0.000)
S (0.500, 0.000, 0.000)

---

21.
Density functional theory data (PBE-GGA) for a geometry-optimized Sr3Nb5S12 structure.

Calculated values
SG: Ia-3d, No. 230
Raw formation energy, meV/atom: -1137

a b c (Å): 13.709 13.709 13.709
angles (deg): 109.47 109.47 109.47
Fractional positions:
Sr (0.125, 0.250, 0.375)
Sr (0.125, 0.375, 0.750)
Sr (0.250, 0.375, 0.125)
Sr (0.250, 0.875, 0.625)
Sr (0.375, 0.125, 0.250)
Sr (0.375, 0.750, 0.125)
Sr (0.625, 0.250, 0.875)
Sr (0.625, 0.875, 0.750)
Sr (0.750, 0.125, 0.375)
Sr (0.750, 0.625, 0.875)
Sr (0.875, 0.625, 0.250)
Sr (0.875, 0.750, 0.625)
Nb (0.000, 0.000, 0.000)
Nb (0.000, 0.000, 0.500)
Nb (0.000, 0.500, 0.000)
Nb (0.000, 0.500, 0.500)
Nb (0.125, 0.750, 0.875)
Nb (0.125, 0.875, 0.250)
Nb (0.250, 0.125, 0.875)
Nb (0.250, 0.625, 0.375)
Nb (0.375, 0.250, 0.625)
Nb (0.375, 0.625, 0.750)
Nb (0.500, 0.000, 0.000)
Nb (0.500, 0.000, 0.500)
Nb (0.500, 0.500, 0.000)
Nb (0.500, 0.500, 0.500)
Nb (0.625, 0.375, 0.250)
Nb (0.625, 0.750, 0.375)
Nb (0.750, 0.375, 0.625)
Nb (0.750, 0.875, 0.125)
Nb (0.875, 0.125, 0.750)
Nb (0.875, 0.250, 0.125)
S (0.021, 0.202, 0.114)
S (0.021, 0.319, 0.907)
S (0.088, 0.702, 0.681)
S (0.088, 0.886, 0.407)
S (0.093, 0.614, 0.412)
S (0.093, 0.979, 0.681)
S (0.114, 0.021, 0.202)
S (0.114, 0.593, 0.912)
S (0.181, 0.202, 0.588)
S (0.181, 0.479, 0.593)
S (0.202, 0.114, 0.021)
S (0.202, 0.588, 0.181)
S (0.298, 0.319, 0.912)
S (0.298, 0.479, 0.386)
S (0.319, 0.907, 0.021)
S (0.319, 0.912, 0.298)
S (0.386, 0.298, 0.479)
S (0.386, 0.588, 0.907)
S (0.407, 0.088, 0.886)
S (0.407, 0.819, 0.521)
S (0.412, 0.093, 0.614)
S (0.412, 0.819, 0.798)
S (0.479, 0.386, 0.298)
S (0.479, 0.593, 0.181)
S (0.521, 0.407, 0.819)
S (0.521, 0.614, 0.702)
S (0.588, 0.181, 0.202)
S (0.588, 0.907, 0.386)
S (0.593, 0.181, 0.479)
S (0.593, 0.912, 0.114)
S (0.614, 0.412, 0.093)
S (0.614, 0.702, 0.521)
S (0.681, 0.088, 0.702)
S (0.681, 0.093, 0.979)
S (0.702, 0.521, 0.614)
S (0.702, 0.681, 0.088)
S (0.798, 0.412, 0.819)
S (0.798, 0.886, 0.979)
S (0.819, 0.521, 0.407)
S (0.819, 0.798, 0.412)
S (0.886, 0.407, 0.088)
S (0.886, 0.979, 0.798)
S (0.907, 0.021, 0.319)
S (0.907, 0.386, 0.588)
S (0.912, 0.114, 0.593)
S (0.912, 0.298, 0.319)
S (0.979, 0.681, 0.093)
S (0.979, 0.798, 0.886)

---

22.
Density functional theory data (PBE-GGA) for a geometry-optimized SrNbS4 structure.

Calculated values
SG: Cmc2_1, No. 36
Raw formation energy, meV/atom: -993
Polymorph energy (0 for the lowest one), eV/f.u.: 0.875

a b c (Å): 8.899 8.899 7.868
angles (deg): 90.00 90.00 150.11
Fractional positions:
Sr (0.154, 0.846, 0.500)
Sr (0.846, 0.154, 0.000)
Nb (0.398, 0.602, 0.525)
Nb (0.602, 0.398, 0.025)
S (0.097, 0.903, 0.133)
S (0.295, 0.705, 0.745)
S (0.332, 0.668, 0.278)
S (0.473, 0.527, 0.954)
S (0.527, 0.473, 0.454)
S (0.668, 0.332, 0.778)
S (0.705, 0.295, 0.245)
S (0.903, 0.097, 0.633)

---

no.,total magnetization (Bohr magnetons per cell)
1,0.5
2,0.0
3,0.0
4,0.0
5,0.0
6,0.0
7,0.0
8,0.0
9,0.0
10,2.3
11,0.0
12,2.5
13,0.0
14,0.0
15,2.1
16,0.0
17,0.0
18,0.0
19,0.0
20,0.2
21,26.9
22,0.0